# 1
Crystalline CoIrW at its relaxed geometry, computed with PBE.

Summary:
Volume = 13.9 Å³/atom
Formation enthalpy at 0 K = -0.024 eV per atom
Symmetry = P-6m2 (187)
Relative energy among the computed polymorphs = 96 meV per atom
Fermi-level density of states = 3.45 states/eV/f.u.

abc: 4.213 4.213 2.710
angles: 90.00 90.00 120.00
Each line ends with the local moment (μB).
Atoms (fractional coordinates):
1 Co 0.000 0.000 0.834  0.52
2 Ir 0.667 0.333 0.333  0.08
3 W 0.333 0.667 0.833  -0.06

***

# 2
Crystalline Co2IrW at its relaxed geometry, computed with PBE.

Summary:
Volume = 13.3 Å³/atom
Formation enthalpy at 0 K = 0.044 eV per atom
Symmetry = C2/m (12)
Fermi-level density of states = 4.96 states/eV/f.u.

abc: 4.536 4.536 4.616
angles: 79.69 79.69 34.70
Each line ends with the local moment (μB).
Atoms (fractional coordinates):
1 Co 0.002 0.002 0.001  1.22
2 Ir 0.750 0.750 0.750  0.17
3 W 0.250 0.250 0.250  -0.09
4 Co 0.498 0.498 0.499  1.22

***

# 3
Crystalline CoIr3W at its relaxed geometry, computed with PBE.

Summary:
Volume = 21.1 Å³/atom
Formation enthalpy at 0 K = 1.922 eV per atom
Symmetry = Pm-3m (221)
Relative energy among the computed polymorphs = 347 meV per atom
Fermi-level density of states = 4.90 states/eV/f.u.

abc: 4.729 4.729 4.729
angles: 90.00 90.00 90.00
Each line ends with the local moment (μB).
Atoms (fractional coordinates):
1 Ir 0.000 0.000 0.500  0.01
2 Co 0.500 0.500 0.500  2.21
3 W 0.000 0.000 0.000  0.00
4 Ir 0.000 0.500 0.000  0.01
5 Ir 0.500 0.000 0.000  0.09

***

# 4
Crystalline Co2IrW at its relaxed geometry, computed with PBE.

Summary:
Volume = 12.8 Å³/atom
Formation enthalpy at 0 K = -0.011 eV per atom
Symmetry = Amm2 (38)
Fermi-level density of states = 4.32 states/eV/f.u.

abc: 4.031 2.649 4.973
angles: 74.56 90.00 90.00
Atoms (fractional coordinates):
1 Co 0.000 0.187 0.000
2 Co 0.500 0.058 0.258
3 Ir 0.000 0.458 0.459
4 W 0.500 0.796 0.782

***

# 5
Crystalline CoIr2W2 at its relaxed geometry, computed with PBE.

Summary:
Volume = 14.4 Å³/atom
Formation enthalpy at 0 K = -0.132 eV per atom
Symmetry = P-1 (2)
Relative energy among the computed polymorphs = 0 meV per atom
Fermi-level density of states = 4.62 states/eV/f.u.

abc: 3.834 4.771 4.719
angles: 81.01 65.95 66.24
Each line ends with the local moment (μB).
Atoms (fractional coordinates):
1 Ir 0.407 0.297 0.390  0.00
2 Co 0.000 0.500 0.000  0.08
3 W 0.214 0.873 0.200  0.00
4 W 0.786 0.127 0.800  0.00
5 Ir 0.593 0.703 0.610  0.00

***

# 6
Crystalline CoIr2W2 at its relaxed geometry, computed with PBE.

Summary:
Volume = 16.0 Å³/atom
Formation enthalpy at 0 K = 0.346 eV per atom
Symmetry = P4/mbm (127)
Relative energy among the computed polymorphs = 478 meV per atom
Fermi-level density of states = 9.18 states/eV/f.u.

abc: 7.604 7.604 2.765
angles: 90.00 90.00 90.00
Atoms (fractional coordinates):
1 W 0.126 0.374 0.000
2 Co 0.000 0.000 0.000
3 W 0.374 0.874 0.000
4 Ir 0.832 0.332 0.500
5 W 0.626 0.126 0.000
6 Ir 0.168 0.668 0.500
7 Ir 0.332 0.168 0.500
8 Co 0.500 0.500 0.000
9 Ir 0.668 0.832 0.500
10 W 0.874 0.626 0.000

***

# 7
Crystalline CoIrW at its relaxed geometry, computed with PBE.

Summary:
Volume = 13.8 Å³/atom
Formation enthalpy at 0 K = -0.119 eV per atom
Symmetry = Imm2 (44)
Relative energy among the computed polymorphs = 0 meV per atom
Fermi-level density of states = 3.20 states/eV/f.u.

abc: 4.672 4.672 4.672
angles: 145.98 132.82 59.43
Each line ends with the local moment (μB).
Atoms (fractional coordinates):
1 Ir 0.336 0.336 0.000  0.11
2 W 0.664 0.664 0.000  -0.10
3 Co 0.000 0.000 0.000  0.94

***

# 8
Crystalline CoIrW2 at its relaxed geometry, computed with PBE.

Summary:
Volume = 14.5 Å³/atom
Formation enthalpy at 0 K = 0.096 eV per atom
Symmetry = C2/m (12)
Relative energy among the computed polymorphs = 218 meV per atom
Fermi-level density of states = 3.71 states/eV/f.u.

abc: 4.748 4.748 4.673
angles: 79.87 79.87 34.15
Each line ends with the local moment (μB).
Atoms (fractional coordinates):
1 Co 0.750 0.750 0.750  0.71
2 W 0.499 0.499 0.504  -0.02
3 W 0.001 0.001 0.996  -0.02
4 Ir 0.250 0.250 0.250  0.06

***

# 9
Crystalline Co2Ir2W at its relaxed geometry, computed with PBE.

Summary:
Volume = 13.4 Å³/atom
Formation enthalpy at 0 K = 0.081 eV per atom
Symmetry = P4/mbm (127)
Relative energy among the computed polymorphs = 0 meV per atom
Fermi-level density of states = 5.65 states/eV/f.u.

abc: 7.005 7.005 2.725
angles: 90.00 90.00 90.00
Each line ends with the local moment (μB).
Atoms (fractional coordinates):
1 Co 0.121 0.379 0.000  0.71
2 W 0.000 0.000 0.000  -0.12
3 Co 0.379 0.879 0.000  0.72
4 Co 0.621 0.121 0.000  0.72
5 Ir 0.825 0.325 0.500  0.12
6 Ir 0.325 0.175 0.500  0.12
7 Ir 0.175 0.675 0.500  0.12
8 W 0.500 0.500 0.000  -0.12
9 Ir 0.675 0.825 0.500  0.12
10 Co 0.879 0.621 0.000  0.71

***

# 10
Crystalline Co2IrW at its relaxed geometry, computed with PBE.

Summary:
Volume = 13.5 Å³/atom
Formation enthalpy at 0 K = 0.132 eV per atom
Symmetry = R3m (160)
Fermi-level density of states = 3.88 states/eV/f.u.

abc: 8.649 8.649 8.649
angles: 18.04 18.04 18.04
Each line ends with the local moment (μB).
Atoms (fractional coordinates):
1 Co 0.254 0.254 0.254  1.68
2 Co 0.995 0.995 0.995  1.57
3 Ir 0.502 0.502 0.502  0.01
4 W 0.749 0.749 0.749  -0.07

***

# 11
Crystalline CoIrW2 at its relaxed geometry, computed with PBE.

Summary:
Volume = 14.3 Å³/atom
Formation enthalpy at 0 K = -0.117 eV per atom
Symmetry = I4/mmm (139)
Relative energy among the computed polymorphs = 5 meV per atom
Fermi-level density of states = 2.12 states/eV/f.u.

abc: 4.723 4.723 4.723
angles: 131.95 131.95 70.30
Atoms (fractional coordinates):
1 W 0.500 0.500 0.000
2 Co 0.250 0.750 0.500
3 Ir 0.750 0.250 0.500
4 W 0.000 0.000 0.000

***

# 12
Crystalline CoIrW2 at its relaxed geometry, computed with PBE.

Summary:
Volume = 14.7 Å³/atom
Formation enthalpy at 0 K = 0.163 eV per atom
Symmetry = R3m (160)
Relative energy among the computed polymorphs = 286 meV per atom
Fermi-level density of states = 3.93 states/eV/f.u.

abc: 9.051 9.051 9.051
angles: 17.52 17.52 17.52
Each line ends with the local moment (μB).
Atoms (fractional coordinates):
1 Co 0.500 0.500 0.500  0.44
2 W 0.243 0.243 0.243  -0.06
3 W 0.004 0.004 0.004  -0.03
4 Ir 0.752 0.752 0.752  0.07

***

no.,calculated total energy (eV per atom)
1,-9.664
2,-8.963
3,-7.407
4,-9.018
5,-10.279
6,-9.801
7,-9.759
8,-10.372
9,-8.896
10,-8.875
11,-10.585
12,-10.305